Entry from Alexandria via LeMat-Bulk: an optimized crystal structure of RbPaFeO6 (PBE+U).

Summary:
Raw total energy: -61.1 eV/cell
Fermi-level density of states: 2.51 states/eV/cell
Symmetry: No. 149
Volume: 146 Å³ per cell
Magnetization: 5.16 μB per formula unit

Lattice parameters (Å, degrees): 4.6382 6.0391 6.0391 120.00 90.00 90.00
Closest atoms and distances in Å follow each position.
Sites, in units of the cell vectors:
O (0.7409, 0.6794, 0.8407)  1 Fe 2.01, 1 Pa 2.17, 1 O 2.23
O (0.2591, 0.1613, 0.8407)  1 Fe 2.01, 1 Pa 2.17, 1 O 2.23
O (0.7409, 0.1593, 0.8387)  1 Fe 2.01, 1 Pa 2.17, 1 O 2.23
O (0.7409, 0.1613, 0.3206)  1 Fe 2.01, 1 Pa 2.17, 1 O 2.23
O (0.2591, 0.6794, 0.8387)  1 Fe 2.01, 1 Pa 2.17, 1 O 2.23
O (0.2591, 0.1593, 0.3206)  1 Fe 2.01, 1 Pa 2.17, 1 O 2.23
Rb (0.5000, 0.6667, 0.3333)  12 O 3.21-3.23, 3 Fe 3.49
Fe (0.5000, 0.0000, 0.0000)  6 O 2.01
Pa (0.0000, 0.3333, 0.6667)  6 O 2.17